(1)
A plane-wave DFT calculation with PBE-GGA was carried out for a relaxed structure of KRbMgPt2.

Geometry as POSCAR:
```
KRbMgPt2
1.0
5.0181 0.0000 0.0000
0.0000 5.0181 0.0000
0.0000 0.0000 5.7680
K Rb Mg Pt
1 1 1 2
Cartesian
0.0000 0.0000 0.0000 K
2.5090 2.5090 0.0000 Rb
2.5090 2.5090 2.8840 Mg
0.0000 2.5090 2.8840 Pt
2.5090 0.0000 2.8840 Pt
```

Summary:
energy = -2.907 eV/atom
spin magnetization = 0.000 μB per formula unit
space group = P4/mmm, No. 123
energy of formation = 0.2411 eV per atom
DOS(E_F) = 1.4 states/eV per cell
volume = 29.05 Å³ per atom

***

(2)
A plane-wave DFT calculation with PBE-GGA was carried out for a relaxed structure of LiBe2FeI.

Geometry as POSCAR:
```
LiBe2FeI
1.0
4.0519 0.0000 0.0000
0.0000 4.0519 0.0000
0.0000 0.0000 4.7270
Li Be Fe I
1 2 1 1
Cartesian
0.0000 0.0000 0.0000 Li
0.0000 2.0259 0.0000 Be
2.0259 0.0000 0.0000 Be
2.0259 2.0259 2.3635 Fe
0.0000 0.0000 2.3635 I
```

Summary:
energy = -2.308 eV/atom
spin magnetization = 0.002 μB per formula unit
space group = P4/mmm, No. 123
DOS(E_F) = 3.6 states/eV per cell
volume = 15.52 Å³ per atom
raw formation energy = 7.8 eV per formula unit

***

(3)
A plane-wave DFT calculation with PBE-GGA was carried out for a relaxed structure of HoEr5ThIn2.

Geometry as POSCAR:
```
HoEr5ThIn2
1.0
-3.7793 3.7793 9.6677
3.7793 -3.7793 9.6677
3.7793 3.7793 -9.6677
Ho Er Th In
2 10 2 4
Cartesian
3.7793 0.0000 4.8339 Ho
0.0000 3.7793 4.8339 Ho
0.0000 0.0000 0.0000 Er
5.3155 1.5362 -2.4040 Er
1.5362 2.2431 -2.4040 Er
5.3155 1.5362 2.4040 Er
1.5362 2.2431 2.4040 Er
0.0000 0.0000 9.6677 Er
2.2431 1.5362 7.2637 Er
-1.5362 2.2431 7.2637 Er
2.2431 1.5362 12.0717 Er
-1.5362 2.2431 12.0717 Er
0.0000 0.0000 4.8339 Th
0.0000 0.0000 14.5016 Th
2.8405 0.9388 0.0000 In
2.8405 -0.9388 9.6677 In
0.9388 4.7181 0.0000 In
0.9388 2.8405 9.6677 In
```

Summary:
energy = -4.453 eV/atom
spin magnetization = 0.000 μB per formula unit
space group = I4/mcm, No. 140
energy of formation = 0.0234 eV per atom
DOS(E_F) = 26.8 states/eV per cell
volume = 30.69 Å³ per atom